Record 1
This record from Alexandria describes a relaxed structure of PuBe4Cr. The functional is PBE-GGA.

Lattice parameters (Å, degrees): 4.620 4.620 4.620 60.00 60.00 60.00
Last column: magnetic moment on the atom in μB.
Fractional positions:
Pu (0.250, 0.250, 0.250)  4.89
Be (0.628, 0.628, 0.628)  -0.02
Be (0.116, 0.628, 0.628)  -0.02
Be (0.628, 0.628, 0.116)  -0.02
Cr (0.000, 0.000, 0.000)  1.38
Be (0.628, 0.116, 0.628)  -0.02

Crystal system: cubic
ρ (g cm⁻³): 7.91
D(E_F) (states/eV per cell): 5.35
DFT formation energy (eV/atom): 0.1803
Magnetic moment (Bohr magnetons per cell): 6.416



Record 2
This record from Alexandria describes a relaxed structure of RbBeCrRe2. The functional is PBE-GGA.

Lattice parameters (Å, degrees): 4.507 5.495 4.507 90.00 90.00 90.00
Last column: magnetic moment on the atom in μB.
Fractional positions:
Be (0.500, 0.500, 0.500)  0.03
Re (0.000, 0.000, 0.500)  -0.41
Rb (0.000, 0.500, 0.000)  0.02
Cr (0.000, 0.000, 0.000)  0.74
Re (0.500, 0.000, 0.000)  -0.44

Crystal system: tetragonal
ρ (g cm⁻³): 7.72
D(E_F) (states/eV per cell): 5.77
DFT formation energy (eV/atom): 2.3199
Magnetic moment (Bohr magnetons per cell): 0.079



Record 3
This record from Alexandria describes a relaxed structure of Rb2BeCrSe4. The functional is PBE-GGA.

Lattice parameters (Å, degrees): 5.721 7.548 12.586 85.06 76.86 67.73
Last column: magnetic moment on the atom in μB.
Fractional positions:
Se (0.864, 0.681, 0.604)  -0.04
Se (0.149, 0.319, 0.396)  -0.04
Be (0.250, 0.500, 0.500)  0.01
Rb (0.821, 0.000, 0.358)  0.00
Rb (0.179, 0.000, 0.642)  0.00
Rb (0.929, 0.500, 0.142)  0.00
Cr (0.000, 0.000, 0.000)  2.07
Se (0.532, 0.319, 0.604)  -0.04
Se (0.886, 0.819, 0.896)  -0.04
Be (0.500, 0.000, 0.000)  0.01
Se (0.456, 0.681, 0.396)  -0.04
Se (0.601, 0.181, 0.104)  -0.04
Rb (0.571, 0.500, 0.858)  0.00
Se (0.294, 0.819, 0.104)  -0.04
Se (0.218, 0.181, 0.896)  -0.04
Cr (0.750, 0.500, 0.500)  2.07

Crystal system: orthorhombic
ΔE_f (raw) (eV per atom): -0.855
ρ (g cm⁻³): 3.71
D(E_F) (states/eV per cell): 0.54
Magnetic moment (Bohr magnetons per cell): 4.000



Record 4
This record from Alexandria describes a relaxed structure of RbBeCrSi2. The functional is PBE-GGA.

Lattice parameters (Å, degrees): 4.582 4.694 4.582 90.00 90.00 90.00
Fractional positions:
Si (0.000, 0.000, 0.500)
Si (0.500, 0.000, 0.000)
Cr (0.000, 0.000, 0.000)
Rb (0.500, 0.500, 0.500)
Be (0.000, 0.500, 0.000)

Crystal system: tetragonal
ΔE_f (raw) (eV per atom): 0.438
ρ (g cm⁻³): 3.41
D(E_F) (states/eV per cell): 2.22
Magnetic moment (Bohr magnetons per cell): 0.002